Version one
Material: SrLaEr
Method: DFT, PBE-GGA
State: relaxed

a b c (Å): 8.529 8.529 8.529
angles (deg): 154.17 154.17 36.86
Atoms (fractional coordinates):
Sr 0.000 0.000 0.000
La 0.686 0.686 0.000
Er 0.326 0.326 0.000

## Properties
The calculated density is 5.56 g cm⁻³. The value obtained for the size of the total moment is 0.000 μB per atom. As for the density of states at the Fermi level: 4.47 states/eV/f.u.

Version two
Material: SrLaEr
Method: DFT, PBE-GGA
State: relaxed

a b c (Å): 3.785 3.785 9.420
angles (deg): 90.00 90.00 120.00
Atoms (fractional coordinates):
Sr 0.000 0.000 0.000
La 0.333 0.667 0.633
Er 0.667 0.333 0.340

## Properties
The calculated density is 5.60 g cm⁻³. The value obtained for the size of the total moment is 0.000 μB per atom. As for the density of states at the Fermi level: 3.96 states/eV/f.u.

Which structure is the most stable? The one labeled version one.